{
  "formula": "MnPb2O2",
  "functional": "GGA+U",
  "state": "optimized geometry",
  "de_polymorph_mev_per_atom": 305,
  "crystal_system": "tetragonal",
  "m_tot_mub_per_fu": 5.0,
  "mass_density_g_cm3": 7.658,
  "lattice_angstrom": [[7.948, 0.000, 0.000], [0.000, 7.948, 0.000], [0.000, 0.000, 3.442]],
  "species": ["Mn", "O", "O", "Pb", "Mn", "Pb", "O", "Pb", "O", "Pb"],
  "frac_coords": [[0.500, 0.500, 0.000], [0.710, 0.790, 0.500], [0.290, 0.210, 0.500], [0.658, 0.158, 0.000], [0.000, 0.000, 0.000], [0.842, 0.658, 0.000], [0.790, 0.290, 0.500], [0.158, 0.342, 0.000], [0.210, 0.710, 0.500], [0.342, 0.842, 0.000]]
}